First-principles (PBE) data for crystalline Co3Ag at its relaxed geometry, as listed in the Alexandria database.

Lattice parameters (Å, degrees): 2.634 4.181 4.650 90.00 90.00 90.00
Positions (direct):
1 Co 0.000 0.000 0.000
2 Co 0.000 0.500 0.289
3 Co 0.500 0.500 0.847
4 Ag 0.500 0.000 0.502

Values from the calculation:
**Energy of formation**: 0.337 eV/atom
**SG**: No. 25
**Calculated total energy**: -5.705 eV per atom